[1]
This record from the Alexandria database describes a relaxed structure of Li2SmTmCl8. The functional is PBE.

Results
total magnetic moment: 0.00 μB per cell
raw total energy: -4.405 eV/atom

Cell: 6.3665 7.9589 6.3862 Å, 90.00 95.47 90.00°
Closest atoms and distances in Å follow each position.
Space group P2/m (No. 10)
Inequivalent atoms, fractional coordinates:
Li  0.0000  0.2452  0.0000 x2  4 Cl 2.58-2.60
Sm  0.5000  0.5000  0.5000 x1  6 Cl 2.67-2.74
Tm  0.5000  0.0000  0.5000 x1  6 Cl 2.59-2.63
Cl  0.1912  0.5000  0.1865 x2  2 Li 2.60, 1 Sm 2.67
Cl  0.1994  0.0000  0.1958 x2  2 Li 2.58, 1 Tm 2.59
Cl  0.3064  0.2410  0.6883 x4  1 Tm 2.63, 1 Sm 2.74, 1 Li 2.92

---

[2]
This record from the Alexandria database describes a relaxed structure of CdSn3P. The functional is PBE.

Results
energy above the lowest structure with this stoichiometry: 0.455 eV per atom
total magnetic moment: 0.00 μB per cell
energy of formation from the pure elements: 4.3 eV/f.u.
raw total energy: -2.800 eV/atom

Cell: 5.4207 5.4207 5.4207 Å, 90.00 90.00 90.00°
Closest atoms and distances in Å follow each position.
Space group Pm-3m (No. 221)
Inequivalent atoms, fractional coordinates:
Cd  0.0000  0.0000  0.0000 x1  6 Sn 2.71
Sn  0.0000  0.0000  0.5000 x3  2 Cd 2.71
P  0.5000  0.5000  0.5000 x1  12 Sn 3.83

---

[3]
This record from the Alexandria database describes a relaxed structure of Hf2AlNi2. The functional is PBE.

Results
total magnetic moment: 0.00 μB per cell
energy of formation from the pure elements: -0.8 eV/f.u.
raw total energy: -7.212 eV/atom

Cell: 7.4720 7.4720 3.0514 Å, 90.00 90.00 90.00°
Closest atoms and distances in Å follow each position.
Space group P4/mbm (No. 127)
Inequivalent atoms, fractional coordinates:
Hf  0.1594  0.3406  0.0000 x4  6 Ni 2.66-2.70, 2 Al 2.81
Al  0.0000  0.0000  0.0000 x2  4 Hf 2.81, 2 Al 3.05
Ni  0.1301  0.6301  0.5000 x4  6 Hf 2.66-2.70, 1 Ni 2.75

---

[4]
This record from the Alexandria database describes a relaxed structure of PrBe5Cu7. The functional is PBE.

Results
total magnetic moment: 0.00 μB per cell
energy of formation from the pure elements: -1.0 eV/f.u.
raw total energy: -4.083 eV/atom

Cell: 4.5361 8.3215 8.2920 Å, 90.00 90.00 90.00°
Closest atoms and distances in Å follow each position.
Space group Imm2 (No. 44)
Inequivalent atoms, fractional coordinates:
Pr  0.0000  0.0000  0.0000 x2  10 Cu 2.90-2.96, 10 Be 3.07-3.15
Be  0.0000  0.5000  0.7490 x2  4 Be 2.34, 4 Cu 2.40-2.42
Be  0.2490  0.2456  0.2544 x8  3 Be 2.26-2.34, 5 Cu 2.35-2.47
Cu  0.0000  0.0000  0.3496 x2  6 Be 2.42-2.47, 3 Cu 2.46-2.64
Cu  0.0000  0.0000  0.6462 x2  5 Cu 2.46-2.56, 4 Be 2.57
Cu  0.0000  0.2755  0.5077 x4  4 Be 2.35-2.40, 3 Cu 2.51-2.56
Cu  0.0000  0.3536  0.9984 x4  5 Be 2.40-2.57, 4 Cu 2.44-2.57
Cu  0.0000  0.5000  0.2710 x2  4 Be 2.40, 4 Cu 2.49-2.57

---

[5]
This record from the Alexandria database describes a relaxed structure of La2CdNiMo. The functional is PBE.

Results
total magnetic moment: 0.00 μB per cell
energy of formation from the pure elements: 1.6 eV/f.u.
raw total energy: -5.153 eV/atom

Cell: 5.5447 5.5447 4.5508 Å, 90.00 90.00 90.00°
Closest atoms and distances in Å follow each position.
Space group P4/mmm (No. 123)
Inequivalent atoms, fractional coordinates:
La  0.0000  0.5000  0.0000 x2  2 Mo 2.77
Cd  0.0000  0.0000  0.5000 x1  8 La 3.59, 4 Ni 3.92
Ni  0.5000  0.5000  0.5000 x1  2 Mo 2.28
Mo  0.5000  0.5000  0.0000 x1  2 Ni 2.28

---

[6]
This record from the Alexandria database describes a relaxed structure of PmPr4Hg4. The functional is PBE.

Results
total magnetic moment: 0.00 μB per cell
energy of formation from the pure elements: -2.4 eV/f.u.
raw total energy: -3.053 eV/atom

Cell: 9.6976 9.6976 5.8212 Å, 90.00 90.00 90.00°
Closest atoms and distances in Å follow each position.
Space group P4_2/n (No. 86, origin choice 2)
Inequivalent atoms, fractional coordinates:
Pm  0.2500  0.2500  0.2500 x2  4 Hg 3.17, 4 Pr 3.47
Pr  0.0915  0.8376  0.6451 x8  4 Hg 3.21-3.27, 1 Pm 3.47, 1 Pr 3.51
Hg  0.0490  0.1475  0.8566 x8  1 Pm 3.17, 4 Pr 3.21-3.27, 3 Hg 3.33-3.45

---

Q: What is the formula in the first record?
A: Li2SmTmCl8

---

Q: total magnetic moment of number 3 (Hf2AlNi2)?
A: 0.00 μB per cell